No. 1
# Pm2MnRuO8 | Alexandria | PBE+U | relaxed
data_Pm2MnRuO8
_cell_length_a 4.770
_cell_length_b 4.806
_cell_length_c 6.766
_cell_angle_alpha 90.04
_cell_angle_beta 90.09
_cell_angle_gamma 93.47
_space_group_name_H-M_alt 'P -1'
_space_group_IT_number 2
loop_
_space_group_symop_operation_xyz
'x,y,z'
'-x,-y,-z'
loop_
_atom_site_label
_atom_site_type_symbol
_atom_site_fract_x
_atom_site_fract_y
_atom_site_fract_z
Pm1 Pm 0.075 0.069 0.241
Mn1 Mn 0.500 0.500 0.000
Ru1 Ru 0.500 0.500 0.500
O1 O 0.219 0.219 0.949
O2 O 0.228 0.232 0.550
O3 O 0.284 0.623 0.253
O4 O 0.375 0.718 0.745
# Total moment ... 3.01 μB/cell
# DFT total energy ... -7.375 eV/atom

***

No. 2
# PmMn2RuO6 | Alexandria | PBE+U | relaxed
data_PmMn2RuO6
_cell_length_a 5.4658
_cell_length_b 5.4658
_cell_length_c 14.6433
_cell_angle_alpha 90.00
_cell_angle_beta 90.00
_cell_angle_gamma 120.00
_space_group_name_H-M_alt 'R 3'
_space_group_IT_number 146
_space_group_name_Hall 'R 3'
loop_
_atom_site_label
_atom_site_type_symbol
_atom_site_fract_x
_atom_site_fract_y
_atom_site_fract_z
Pm1 Pm 0.0000 0.0000 0.0000
Mn1 Mn 0.0000 0.0000 0.2738
Mn2 Mn 0.0000 0.0000 0.7862
Ru1 Ru 0.0000 0.0000 0.4814
O1 O 0.0041 0.3562 0.2148
O2 O 0.0286 0.7358 0.3911
# Total moment ... 21.00 μB/cell
# DFT total energy ... -7.685 eV/atom

***

No. 3
# PmMnRuO6 | Alexandria | PBE+U | relaxed
data_PmMnRuO6
_cell_length_a 5.5320
_cell_length_b 5.5320
_cell_length_c 8.5747
_cell_angle_alpha 90.00
_cell_angle_beta 90.00
_cell_angle_gamma 120.00
_space_group_name_H-M_alt 'P -3 1 c'
_space_group_IT_number 163
_space_group_name_Hall '-P 3 2c'
loop_
_atom_site_label
_atom_site_type_symbol
_atom_site_fract_x
_atom_site_fract_y
_atom_site_fract_z
Pm1 Pm 0.3333 0.6667 0.2500
Mn1 Mn 0.0000 0.0000 0.0000
Ru1 Ru 0.3333 0.6667 0.7500
O1 O 0.0564 0.3699 0.6233
# Total moment ... 7.96 μB/cell
# DFT total energy ... -7.267 eV/atom

***

No. 4
# PmMnS2O | Alexandria | PBE+U | relaxed
data_PmMnS2O
_cell_length_a 3.853
_cell_length_b 3.853
_cell_length_c 12.755
_cell_angle_alpha 90.00
_cell_angle_beta 90.00
_cell_angle_gamma 90.00
_space_group_name_H-M_alt 'P 4/n m m'
_space_group_IT_number 129
loop_
_space_group_symop_operation_xyz
'x,y,z'
'-x,-y,-z'
'-y+1/2,x,z'
'y+1/2,-x,-z'
'-x+1/2,-y+1/2,z'
'x+1/2,y+1/2,-z'
'y,-x+1/2,z'
'-y,x+1/2,-z'
'x+1/2,-y,-z'
'-x+1/2,y,z'
'-y,-x,-z'
'y,x,z'
'-x,y+1/2,-z'
'x,-y+1/2,z'
'y+1/2,x+1/2,-z'
'-y+1/2,-x+1/2,z'
loop_
_atom_site_label
_atom_site_type_symbol
_atom_site_fract_x
_atom_site_fract_y
_atom_site_fract_z
Pm1 Pm 0.250 0.250 0.099
Mn1 Mn 0.250 0.250 0.603
S1 S 0.250 0.250 0.412
S2 S 0.250 0.250 0.785
O1 O 0.250 0.750 0.000
# Total moment ... 8.03 μB/cell
# DFT total energy ... -6.819 eV/atom

***

No. 5
# PmMnSO2 | Alexandria | PBE+U | relaxed
data_PmMnSO2
_cell_length_a 3.857
_cell_length_b 3.857
_cell_length_c 12.953
_cell_angle_alpha 90.00
_cell_angle_beta 90.00
_cell_angle_gamma 90.00
_space_group_name_H-M_alt 'I 4 m m'
_space_group_IT_number 107
_space_group_name_Hall 'I 4 -2'
loop_
_atom_site_label
_atom_site_type_symbol
_atom_site_fract_x
_atom_site_fract_y
_atom_site_fract_z
Pm1 Pm 0.000 0.000 0.000
Mn1 Mn 0.000 0.000 0.636
S1 S 0.000 0.000 0.417
O1 O 0.000 0.500 0.116
# Total moment ... 8.05 μB/cell
# DFT total energy ... -7.249 eV/atom

***

No. 6
# Pm2MnS2O2 | Alexandria | PBE+U | relaxed
data_Pm2MnS2O2
_cell_length_a 11.529
_cell_length_b 3.825
_cell_length_c 6.823
_cell_angle_alpha 90.00
_cell_angle_beta 121.34
_cell_angle_gamma 90.00
_space_group_name_H-M_alt 'C 1 2/m 1'
_space_group_IT_number 12
loop_
_space_group_symop_operation_xyz
'x,y,z'
'-x,-y,-z'
'-x,y,-z'
'x,-y,z'
'x+1/2,y+1/2,z'
'-x+1/2,-y+1/2,-z'
'-x+1/2,y+1/2,-z'
'x+1/2,-y+1/2,z'
loop_
_atom_site_label
_atom_site_type_symbol
_atom_site_fract_x
_atom_site_fract_y
_atom_site_fract_z
Pm1 Pm 0.191 0.000 0.233
Mn1 Mn 0.000 0.000 0.500
S1 S 0.065 0.500 0.827
O1 O 0.199 0.000 0.584
# Total moment ... 10.00 μB/cell
# DFT total energy ... -7.382 eV/atom